BN: optimized geometry, PBEsol.

Lattice parameters (Å, degrees): 2.5066 6.9968 4.3375 90.00 90.00 90.00
Last column: nearest neighbours and their distance in Å.
Space group Fmm2 (No. 42)
Inequivalent atoms, fractional coordinates:
B 0.0000 0.0000 0.0000 (multiplicity 4)  3 N 1.45
N 0.0000 0.0000 0.6665 (multiplicity 4)  3 B 1.45

Summary:
Crystal system = orthorhombic
Calculated total energy = -0.672 Ry/atom
Formation energy from raw total energies = -1.368 eV/atom

***

Sr2TlRe: optimized geometry, PBEsol.

Lattice parameters (Å, degrees): 3.0599 3.6189 9.4452 90.00 90.00 90.00
Last column: nearest neighbours and their distance in Å.
Space group Pmmm (No. 47)
Inequivalent atoms, fractional coordinates:
Sr 0.0000 0.0000 0.2193 (multiplicity 2)  2 Sr 3.06, 4 Re 3.15
Tl 0.5000 0.5000 0.5000 (multiplicity 1)  2 Tl 3.06
Re 0.5000 0.5000 0.0000 (multiplicity 1)  2 Re 3.06, 8 Sr 3.15

Summary:
Formation enthalpy at 0 K = 663.9 meV/atom
Crystal system = orthorhombic
Calculated total energy = -0.312 Ry/atom

***

YCd2Cl: optimized geometry, PBEsol.

Lattice parameters (Å, degrees): 3.2543 6.2382 4.5888 90.00 92.66 90.00
Last column: nearest neighbours and their distance in Å.
Space group P2/m (No. 10)
Inequivalent atoms, fractional coordinates:
Y 0.0000 0.0000 0.0000 (multiplicity 1)  4 Cl 2.75-2.87
Cd 0.2508 0.5000 0.7552 (multiplicity 2)  4 Cd 2.71-2.91
Cl 0.5000 0.0000 0.5000 (multiplicity 1)  4 Y 2.75-2.87

Summary:
Crystal system = monoclinic
Calculated total energy = -0.246 Ry/atom
Formation energy from raw total energies = -0.545 eV/atom

***

RuPt: optimized geometry, PBEsol.

Lattice parameters (Å, degrees): 9.0175 2.6958 4.7063 90.00 99.80 90.00
Last column: nearest neighbours and their distance in Å.
Space group C2/m (No. 12)
Inequivalent atoms, fractional coordinates:
Ru 0.1293 0.0000 0.3855 (multiplicity 4)  5 Ru 2.63-2.73, 7 Pt 2.67-2.76
Pt 0.1225 0.5000 0.8717 (multiplicity 4)  7 Ru 2.67-2.76, 5 Pt 2.69-2.76

Summary:
Formation enthalpy at 0 K = 14.3 meV/atom
Crystal system = monoclinic
Calculated total energy = -0.629 Ry/atom

***

LiCo2Bi2: optimized geometry, PBEsol.

Lattice parameters (Å, degrees): 3.3990 3.3990 16.9375 90.00 90.00 90.00
Last column: nearest neighbours and their distance in Å.
Space group I4/mmm (No. 139)
Inequivalent atoms, fractional coordinates:
Li 0.0000 0.0000 0.0000 (multiplicity 2)  8 Bi 3.18, 4 Li 3.40
Co 0.0000 0.5000 0.2500 (multiplicity 4)  4 Co 2.40
Bi 0.0000 0.0000 0.3768 (multiplicity 4)  4 Co 2.74

Summary:
Formation enthalpy at 0 K = 127.8 meV/atom
Crystal system = tetragonal
Calculated total energy = -0.373 Ry/atom

***

KRe2Tc: optimized geometry, PBEsol.

Lattice parameters (Å, degrees): 6.3204 6.3204 6.3204 90.00 90.00 90.00
Last column: nearest neighbours and their distance in Å.
Space group Fm-3m (No. 225)
Inequivalent atoms, fractional coordinates:
K 0.0000 0.0000 0.0000 (multiplicity 4)  8 Re 2.74
Re 0.2500 0.2500 0.2500 (multiplicity 8)  4 Tc 2.74, 4 K 2.74
Tc 0.0000 0.0000 0.5000 (multiplicity 4)  8 Re 2.74

Summary:
Formation enthalpy at 0 K = 1636.8 meV/atom
Crystal system = cubic
Calculated total energy = -0.597 Ry/atom

***

MnIrAu: optimized geometry, PBEsol.

Lattice parameters (Å, degrees): 2.8110 3.5404 8.7745 90.00 90.00 90.00
Last column: nearest neighbours and their distance in Å.
Space group Imm2 (No. 44)
Inequivalent atoms, fractional coordinates:
Mn 0.0000 0.0000 0.0000 (multiplicity 2)  4 Ir 2.55, 5 Au 2.74-2.84, 2 Mn 2.81
Ir 0.0000 0.0000 0.3644 (multiplicity 2)  4 Mn 2.55, 5 Au 2.74-2.80, 2 Ir 2.81
Au 0.0000 0.0000 0.6765 (multiplicity 2)  5 Ir 2.74-2.80, 5 Mn 2.74-2.84, 2 Au 2.81

Summary:
Formation enthalpy at 0 K = 155.6 meV/atom
Crystal system = orthorhombic
Calculated total energy = -0.565 Ry/atom

***

MgCdHg2: optimized geometry, PBEsol.

Lattice parameters (Å, degrees): 3.3300 3.3300 27.0185 90.00 90.00 120.00
Last column: nearest neighbours and their distance in Å.
Space group R-3m (No. 166, hexagonal axes)
Inequivalent atoms, fractional coordinates:
Mg 0.0000 0.0000 0.0000 (multiplicity 3)  6 Hg 2.91
Cd 0.0000 0.0000 0.5000 (multiplicity 3)  6 Hg 3.01, 6 Cd 3.33
Hg 0.0000 0.0000 0.2524 (multiplicity 6)  3 Mg 2.91, 3 Cd 3.01

Summary:
Formation enthalpy at 0 K = -132.6 meV/atom
Crystal system = trigonal
Calculated total energy = -0.084 Ry/atom

***

YNi4B: optimized geometry, PBEsol.

Lattice parameters (Å, degrees): 4.9040 4.9040 6.8763 90.00 90.00 120.00
Last column: nearest neighbours and their distance in Å.
Space group P6/mmm (No. 191)
Inequivalent atoms, fractional coordinates:
Y 0.0000 0.0000 0.0000 (multiplicity 1)  6 B 2.83, 12 Ni 2.84
Y 0.0000 0.0000 0.5000 (multiplicity 1)  18 Ni 2.83-3.16
Ni 0.0000 0.5000 0.2095 (multiplicity 6)  2 B 2.02
Ni 0.3333 0.6667 0.5000 (multiplicity 2)  6 Ni 2.45
B 0.3333 0.6667 0.0000 (multiplicity 2)  6 Ni 2.02

Summary:
Formation enthalpy at 0 K = -516.6 meV/atom
Crystal system = hexagonal
Calculated total energy = -0.509 Ry/atom

***

Mg2BeFe: optimized geometry, PBEsol.

Lattice parameters (Å, degrees): 6.9117 6.9117 5.1258 90.00 90.00 90.00
Last column: nearest neighbours and their distance in Å.
Space group I-42d (No. 122)
Inequivalent atoms, fractional coordinates:
Mg 0.2327 0.2500 0.1250 (multiplicity 8)  2 Be 2.45, 2 Mg 2.57, 2 Fe 2.61
Be 0.0000 0.0000 0.0000 (multiplicity 4)  4 Mg 2.45, 2 Fe 2.56
Fe 0.0000 0.0000 0.5000 (multiplicity 4)  2 Be 2.56, 4 Mg 2.61

Summary:
Formation enthalpy at 0 K = 722.0 meV/atom
Crystal system = tetragonal
Calculated total energy = -0.248 Ry/atom

***

Nd3Ti4O12: optimized geometry, PBEsol.

Lattice parameters (Å, degrees): 7.6739 7.6811 7.7654 90.00 90.00 90.00
Last column: nearest neighbours and their distance in Å.
Space group Amm2 (No. 38)
Inequivalent atoms, fractional coordinates:
Nd 0.0000 0.0000 0.0000 (multiplicity 2)  8 O 2.48-2.53
Nd 0.0000 0.0000 0.4971 (multiplicity 2)  8 O 2.40-2.67
Nd 0.5000 0.0000 0.5229 (multiplicity 2)  4 O 2.37
Ti 0.2554 0.2472 0.2592 (multiplicity 8)  6 O 1.91-2.00
O 0.0000 0.1944 0.2554 (multiplicity 4)  2 Ti 2.00
O 0.1989 0.0000 0.7405 (multiplicity 4)  2 Ti 1.99
O 0.2275 0.2371 0.0091 (multiplicity 8)  2 Ti 1.96
O 0.2886 0.0000 0.3006 (multiplicity 4)  2 Ti 1.94
O 0.5000 0.2105 0.7457 (multiplicity 4)  2 Ti 1.91

Summary:
Crystal system = orthorhombic
Calculated total energy = -0.672 Ry/atom
Formation energy from raw total energies = -3.255 eV/atom

***

MnCoCuRh2: optimized geometry, PBEsol.

Lattice parameters (Å, degrees): 4.3517 4.3517 4.2744 90.00 90.00 90.00
Last column: nearest neighbours and their distance in Å.
Space group P4/mmm (No. 123)
Inequivalent atoms, fractional coordinates:
Mn 0.0000 0.0000 0.0000 (multiplicity 1)  2 Co 2.14
Co 0.0000 0.0000 0.5000 (multiplicity 1)  2 Mn 2.14, 4 Rh 2.18
Cu 0.5000 0.5000 0.0000 (multiplicity 1)  8 Rh 3.05, 4 Mn 3.08
Rh 0.0000 0.5000 0.5000 (multiplicity 2)  2 Co 2.18

Summary:
Formation enthalpy at 0 K = 1166.9 meV/atom
Crystal system = tetragonal
Calculated total energy = -0.474 Ry/atom

***

Ga2BiIN: optimized geometry, PBEsol.

Lattice parameters (Å, degrees): 4.6386 4.6386 4.8679 90.00 90.00 90.00
Last column: nearest neighbours and their distance in Å.
Space group P4/mmm (No. 123)
Inequivalent atoms, fractional coordinates:
Ga 0.0000 0.5000 0.0000 (multiplicity 2)  2 N 2.32
Bi 0.0000 0.0000 0.5000 (multiplicity 1)  4 I 3.28, 8 Ga 3.36
I 0.5000 0.5000 0.5000 (multiplicity 1)  2 N 2.43
N 0.5000 0.5000 0.0000 (multiplicity 1)  4 Ga 2.32, 2 I 2.43

Summary:
Crystal system = tetragonal
Calculated total energy = -0.271 Ry/atom
Formation energy from raw total energies = 0.567 eV/atom